Entry from Alexandria: ZnSiPb2 at its PBEsol-relaxed geometry (SCAN).

Output
**Space group**: I-4m2 (119)
**Formation energy without anion corrections**: 0.498 eV/atom
**Mass density**: 9.14 g/cm³
**Crystal system**: tetragonal
**Relative energy among the computed polymorphs**: 0.083 eV per atom

Cell lengths 4.2346, 4.2346, 5.9532 Å; angles 110.83, 110.83, 90.00 degrees
Atoms (fractional coordinates):
Pb 0.7500 0.2500 0.5000
Zn 0.2500 0.7500 0.5000
Pb 0.0000 0.0000 0.0000
Si 0.5000 0.5000 0.0000